Compound: Tb2PrWO8
Source: Alexandria
Functional: PBE+U
Structure: relaxed

Magnetic moment: 0.933 μB/cell
DFT total energy: -94.499 eV/cell
V: 182 Å³/f.u.

Unit cell a=5.0831 b=5.0831 c=7.0307 alpha=90.00 beta=90.00 gamma=90.45
Fractional coordinates of all 12 atoms:
1 Tb 0.0000 0.0000 0.2410
2 Tb 0.0000 0.0000 0.7590
3 Pr 0.5000 0.5000 0.5000
4 W 0.5000 0.5000 0.0000
5 O 0.1813 0.1813 0.5000
6 O 0.2252 0.2252 0.0000
7 O 0.3158 0.6842 0.2043
8 O 0.3158 0.6842 0.7957
9 O 0.6842 0.3158 0.2043
10 O 0.6842 0.3158 0.7957
11 O 0.7748 0.7748 0.0000
12 O 0.8187 0.8187 0.5000